CaNi2BO4 (PBE with a Hubbard U, optimized geometry); total magnetization = 3.01 μB/f.u.; calculated volume = 11.931 Å³ per atom; total DFT energy (no corrections) = -91.00 eV/cell
1.0
4.696 -4.007 0.000
4.696 4.007 0.000
-4.139 0.000 5.072
Ca Ni B O
2 4 2 8
direct
0.000 0.500 0.000
0.500 0.000 0.500
0.000 0.000 0.000
0.000 0.000 0.500
0.000 0.500 0.500
0.500 0.000 0.000
0.500 0.500 0.000
0.500 0.500 0.500
0.164 0.217 0.448
0.217 0.164 0.948
0.327 0.643 0.462
0.357 0.673 0.038
0.643 0.327 0.962
0.673 0.357 0.538
0.783 0.836 0.052
0.836 0.783 0.552